# 1
Crystalline SiTc at its relaxed geometry, computed with PBE.

ΔE_f (raw): 1.51 eV per formula unit
Energy above the most stable polymorph in this dataset: 2.56 eV/f.u.
Calculated volume: 51.1 Å³/f.u.
Total magnetic moment: 0.0 μB/f.u.

Lattice parameters (Å, degrees): 7.4229 7.4229 7.4229 90.00 90.00 90.00
Last column: nearest neighbours and their distance in Å.
Element x y z (fractional)
Si 0.1768 0.1768 0.1768  4 Tc 2.37-2.38
Si 0.8232 0.1768 0.8232  4 Tc 2.37-2.38
Si 0.3232 0.3232 0.6768  4 Tc 2.37-2.38
Si 0.8232 0.8232 0.1768  4 Tc 2.37-2.38
Si 0.3232 0.6768 0.3232  4 Tc 2.37-2.38
Si 0.1768 0.8232 0.8232  4 Tc 2.37-2.38
Si 0.6768 0.3232 0.3232  4 Tc 2.37-2.38
Si 0.6768 0.6768 0.6768  4 Tc 2.37-2.38
Tc 0.6381 0.6381 0.3619  4 Si 2.37-2.38
Tc 0.8619 0.8619 0.8619  4 Si 2.37-2.38
Tc 0.1381 0.1381 0.8619  4 Si 2.37-2.38
Tc 0.8619 0.1381 0.1381  4 Si 2.37-2.38
Tc 0.6381 0.3619 0.6381  4 Si 2.37-2.38
Tc 0.1381 0.8619 0.1381  4 Si 2.37-2.38
Tc 0.3619 0.6381 0.6381  4 Si 2.37-2.38
Tc 0.3619 0.3619 0.3619  4 Si 2.37-2.38


# 2
Crystalline SiTc at its relaxed geometry, computed with PBE.

ΔE_f (raw): -0.84 eV per formula unit
Energy above the most stable polymorph in this dataset: 0.21 eV/f.u.
Calculated volume: 27.4 Å³/f.u.
Total magnetic moment: 0.0 μB/f.u.

Lattice parameters (Å, degrees): 4.6517 4.6517 6.3086 78.89 78.89 37.91
Last column: nearest neighbours and their distance in Å.
Element x y z (fractional)
Si 0.9508 0.9508 0.0345  6 Tc 2.52-2.56, 2 Si 2.68
Si 0.7002 0.7002 0.6439  7 Tc 2.43-2.51, 1 Si 2.71
Si 0.6188 0.6188 0.2522  5 Tc 2.45-2.59, 3 Si 2.68-2.71
Tc 0.3340 0.3340 0.3467  7 Si 2.45-2.59
Tc 0.9870 0.9870 0.6260  4 Si 2.43-2.53
Tc 0.2426 0.2426 0.9299  7 Si 2.44-2.59


# 3
Crystalline SiTc2 at its relaxed geometry, computed with PBE.

ΔE_f (raw): -0.80 eV per formula unit
Energy above the most stable polymorph in this dataset: 0.43 eV/f.u.
Calculated volume: 43.4 Å³/f.u.
Total magnetic moment: 0.0 μB/f.u.

Lattice parameters (Å, degrees): 6.6740 2.9202 9.0729 90.00 100.84 90.00
Last column: nearest neighbours and their distance in Å.
Element x y z (fractional)
Tc 0.4360 0.0000 0.7790  4 Si 2.47-2.52, 2 Tc 2.69
Tc 0.7646 0.5000 0.7505  5 Tc 2.48-2.69, 3 Si 2.50-2.54
Tc 0.1499 0.5000 0.9492  5 Si 2.50-2.60, 2 Tc 2.71
Tc 0.8222 0.5000 0.4879  5 Tc 2.48-2.71, 3 Si 2.68-2.74
Tc 0.7646 0.0000 0.2505  5 Tc 2.48-2.69, 3 Si 2.50-2.54
Tc 0.1499 0.0000 0.4492  5 Si 2.50-2.60, 2 Tc 2.71
Tc 0.8222 0.0000 0.9879  5 Tc 2.48-2.71, 3 Si 2.68-2.74
Tc 0.4360 0.5000 0.2790  4 Si 2.47-2.52, 2 Tc 2.69
Si 0.0604 0.0000 0.7090  8 Tc 2.47-2.74
Si 0.0604 0.5000 0.2090  8 Tc 2.47-2.74
Si 0.4475 0.5000 0.5538  7 Tc 2.48-2.68
Si 0.4475 0.0000 0.0538  7 Tc 2.48-2.68


# 4
Crystalline Si23Tc4 at its relaxed geometry, computed with PBE.

ΔE_f (raw): 18.37 eV per formula unit
Calculated volume: 509.4 Å³/f.u.
Total magnetic moment: 16.5 μB/f.u.

Lattice parameters (Å, degrees): 10.0622 10.0622 10.0622 90.00 90.00 90.00
Last column: nearest neighbours and their distance in Å.
Element x y z (fractional)
Si 0.1892 0.5000 0.3844  4 Si 2.33-2.34
Si 0.1825 0.1825 0.1825  4 Si 2.34-2.35
Si 0.8175 0.8175 0.1825  4 Si 2.34-2.35
Si 0.5000 0.3844 0.8108  4 Si 2.33-2.34
Si 0.6156 0.1892 0.5000  4 Si 2.33-2.34
Si 0.7500 0.0000 0.5000  4 Si 2.33
Si 0.0000 0.6892 0.8844  4 Si 2.33-2.34
Si 0.3175 0.6825 0.3175  4 Si 2.34-2.35
Si 0.8844 0.0000 0.3108  4 Si 2.33-2.34
Si 0.0000 0.6892 0.1156  4 Si 2.33-2.34
Si 0.5000 0.7500 0.0000  4 Si 2.33
Si 0.3108 0.8844 0.0000  4 Si 2.33-2.34
Si 0.6825 0.6825 0.3175  4 Si 2.34-2.35
Si 0.6892 0.8844 0.0000  4 Si 2.33-2.34
Si 0.5000 0.6156 0.8108  4 Si 2.33-2.34
Si 0.1156 0.0000 0.3108  4 Si 2.33-2.34
Si 0.6825 0.6825 0.6825  4 Si 2.34-2.35
Si 0.3844 0.8108 0.5000  4 Si 2.33-2.34
Si 0.5000 0.6156 0.1892  4 Si 2.33-2.34
Si 0.5000 0.3844 0.1892  4 Si 2.33-2.34
Si 0.0000 0.5000 0.7500  4 Si 2.33
Si 0.0000 0.3108 0.1156  4 Si 2.33-2.34
Si 0.1892 0.5000 0.6156  4 Si 2.33-2.34
Si 0.6156 0.8108 0.5000  4 Si 2.33-2.34
Si 0.3108 0.1156 0.0000  4 Si 2.33-2.34
Si 0.1825 0.8175 0.1825  4 Si 2.34-2.35
Si 0.6892 0.1156 0.0000  4 Si 2.33-2.34
Si 0.3175 0.3175 0.6825  4 Si 2.34-2.35
Si 0.2500 0.0000 0.5000  4 Si 2.33
Si 0.1156 0.0000 0.6892  4 Si 2.33-2.34
Si 0.8175 0.1825 0.1825  4 Si 2.34-2.35
Si 0.6825 0.3175 0.6825  4 Si 2.34-2.35
Si 0.0000 0.3108 0.8844  4 Si 2.33-2.34
Si 0.0000 0.5000 0.2500  4 Si 2.33
Si 0.1825 0.8175 0.8175  4 Si 2.34-2.35
Si 0.8175 0.1825 0.8175  4 Si 2.34-2.35
Si 0.3175 0.6825 0.6825  4 Si 2.34-2.35
Si 0.3844 0.1892 0.5000  4 Si 2.33-2.34
Si 0.8108 0.5000 0.3844  4 Si 2.33-2.34
Si 0.3175 0.3175 0.3175  4 Si 2.34-2.35
Si 0.5000 0.2500 0.0000  4 Si 2.33
Si 0.8175 0.8175 0.8175  4 Si 2.34-2.35
Si 0.6825 0.3175 0.3175  4 Si 2.34-2.35
Si 0.1825 0.1825 0.8175  4 Si 2.34-2.35
Si 0.8844 0.0000 0.6892  4 Si 2.33-2.34
Si 0.8108 0.5000 0.6156  4 Si 2.33-2.34
Tc 0.7500 0.5000 0.0000  20 Si 3.36-3.75
Tc 0.0000 0.0000 0.0000  20 Si 3.18-3.34
Tc 0.5000 0.0000 0.7500  20 Si 3.36-3.75
Tc 0.0000 0.7500 0.5000  20 Si 3.36-3.75
Tc 0.5000 0.5000 0.5000  20 Si 3.18-3.34
Tc 0.2500 0.5000 0.0000  20 Si 3.36-3.75
Tc 0.5000 0.0000 0.2500  20 Si 3.36-3.75
Tc 0.0000 0.2500 0.5000  20 Si 3.36-3.75


# 5
Crystalline SiTc2 at its relaxed geometry, computed with PBE.

ΔE_f (raw): -0.79 eV per formula unit
Energy above the most stable polymorph in this dataset: 0.44 eV/f.u.
Calculated volume: 41.6 Å³/f.u.
Total magnetic moment: 0.0 μB/f.u.

Lattice parameters (Å, degrees): 4.4065 2.8948 13.3585 90.00 102.57 90.00
Last column: nearest neighbours and their distance in Å.
Element x y z (fractional)
Si 0.7716 0.0000 0.5947  9 Tc 2.49-2.77
Si 0.2284 0.0000 0.4053  9 Tc 2.49-2.77
Si 0.7716 0.5000 0.0947  9 Tc 2.49-2.77
Si 0.2284 0.5000 0.9053  9 Tc 2.49-2.77
Tc 0.7137 0.5000 0.4301  6 Si 2.54-2.77, 3 Tc 2.66-2.79
Tc 0.2516 0.0000 0.7338  3 Si 2.49-2.73, 6 Tc 2.58-2.76
Tc 0.7484 0.5000 0.7662  3 Si 2.49-2.73, 6 Tc 2.58-2.76
Tc 0.7484 0.0000 0.2662  3 Si 2.49-2.73, 6 Tc 2.58-2.76
Tc 0.2863 0.0000 0.0699  6 Si 2.54-2.77, 3 Tc 2.66-2.79
Tc 0.2863 0.5000 0.5699  6 Si 2.54-2.77, 3 Tc 2.66-2.79
Tc 0.7137 0.0000 0.9301  6 Si 2.54-2.77, 3 Tc 2.66-2.79
Tc 0.2516 0.5000 0.2338  3 Si 2.49-2.73, 6 Tc 2.58-2.76


# 6
Crystalline SiTc at its relaxed geometry, computed with PBE.

ΔE_f (raw): -0.71 eV per formula unit
Energy above the most stable polymorph in this dataset: 0.33 eV/f.u.
Calculated volume: 28.1 Å³/f.u.
Total magnetic moment: 0.0 μB/f.u.

Lattice parameters (Å, degrees): 3.0374 4.4699 4.6613 91.11 107.90 109.46
Last column: nearest neighbours and their distance in Å.
Element x y z (fractional)
Si 0.9181 0.2325 0.6191  6 Tc 2.47-2.56, 3 Si 2.58-2.62
Si 0.0819 0.7675 0.3809  6 Tc 2.47-2.56, 3 Si 2.58-2.62
Tc 0.2491 0.3015 0.1801  6 Si 2.47-2.56
Tc 0.7509 0.6985 0.8199  6 Si 2.47-2.56


# 7
Crystalline SiTc at its relaxed geometry, computed with PBE.

ΔE_f (raw): -0.93 eV per formula unit
Energy above the most stable polymorph in this dataset: 0.11 eV/f.u.
Calculated volume: 27.5 Å³/f.u.
Total magnetic moment: 0.0 μB/f.u.

Lattice parameters (Å, degrees): 5.1080 4.6079 9.3393 90.00 90.00 90.00
Last column: nearest neighbours and their distance in Å.
Element x y z (fractional)
Si 0.6983 0.1243 0.4299  6 Tc 2.39-2.58, 1 Si 2.65
Si 0.1983 0.3757 0.5701  6 Tc 2.39-2.58, 1 Si 2.65
Si 0.8017 0.8757 0.9299  6 Tc 2.39-2.58, 1 Si 2.65
Si 0.3377 0.0785 0.8004  6 Tc 2.49-2.73, 1 Si 2.65
Si 0.8377 0.4215 0.1996  6 Tc 2.49-2.73, 1 Si 2.65
Si 0.1623 0.9215 0.3004  6 Tc 2.49-2.73, 1 Si 2.65
Si 0.3017 0.6243 0.0701  6 Tc 2.39-2.58, 1 Si 2.65
Si 0.6623 0.5785 0.6996  6 Tc 2.49-2.73, 1 Si 2.65
Tc 0.1547 0.1320 0.0545  6 Si 2.39-2.56
Tc 0.3554 0.4153 0.3245  5 Si 2.42-2.58
Tc 0.8453 0.6320 0.4455  6 Si 2.39-2.56
Tc 0.3453 0.8680 0.5545  6 Si 2.39-2.56
Tc 0.8554 0.0847 0.6755  5 Si 2.42-2.58
Tc 0.6547 0.3680 0.9455  6 Si 2.39-2.56
Tc 0.6446 0.9153 0.1755  5 Si 2.42-2.58
Tc 0.1446 0.5847 0.8245  5 Si 2.42-2.58


# 8
Crystalline SiTc4 at its relaxed geometry, computed with PBE.

ΔE_f (raw): 4.81 eV per formula unit
Energy above the most stable polymorph in this dataset: 4.12 eV/f.u.
Calculated volume: 81.6 Å³/f.u.
Total magnetic moment: 0.7 μB/f.u.

Lattice parameters (Å, degrees): 4.3371 4.3371 4.3371 90.00 90.00 90.00
Last column: nearest neighbours and their distance in Å.
Element x y z (fractional)
Si 0.5000 0.5000 0.5000  6 Tc 2.17
Tc 0.0000 0.0000 0.0000  12 Tc 3.07
Tc 0.0000 0.5000 0.5000  2 Si 2.17
Tc 0.5000 0.0000 0.5000  2 Si 2.17
Tc 0.5000 0.5000 0.0000  2 Si 2.17


# 9
Crystalline SiTc2 at its relaxed geometry, computed with PBE.

ΔE_f (raw): -0.98 eV per formula unit
Energy above the most stable polymorph in this dataset: 0.25 eV/f.u.
Calculated volume: 40.7 Å³/f.u.
Total magnetic moment: 0.0 μB/f.u.

Lattice parameters (Å, degrees): 6.5809 6.5809 4.2794 90.00 90.00 153.96
Last column: nearest neighbours and their distance in Å.
Element x y z (fractional)
Si 0.9259 0.0741 0.7500  8 Tc 2.54-2.61
Si 0.0741 0.9259 0.2500  8 Tc 2.54-2.61
Tc 0.2651 0.7349 0.7500  2 Si 2.54, 6 Tc 2.63-2.72
Tc 0.4125 0.5875 0.2500  6 Si 2.55-2.61, 2 Tc 2.72
Tc 0.5875 0.4125 0.7500  6 Si 2.55-2.61, 2 Tc 2.72
Tc 0.7349 0.2651 0.2500  2 Si 2.54, 6 Tc 2.63-2.72


# 10
Crystalline SiTc2 at its relaxed geometry, computed with PBE.

ΔE_f (raw): -1.08 eV per formula unit
Energy above the most stable polymorph in this dataset: 0.15 eV/f.u.
Calculated volume: 41.3 Å³/f.u.
Total magnetic moment: 0.0 μB/f.u.

Lattice parameters (Å, degrees): 5.6998 2.9039 10.3051 90.00 104.41 90.00
Last column: nearest neighbours and their distance in Å.
Element x y z (fractional)
Tc 0.3626 0.5000 0.3131  3 Si 2.46-2.59, 4 Tc 2.70
Tc 0.7217 0.0000 0.4712  4 Si 2.49-2.68, 3 Tc 2.70-2.74
Tc 0.6374 0.0000 0.1869  3 Si 2.46-2.59, 4 Tc 2.70
Tc 0.2783 0.0000 0.5288  4 Si 2.49-2.68, 3 Tc 2.70-2.74
Tc 0.7217 0.5000 0.9712  4 Si 2.49-2.68, 3 Tc 2.70-2.74
Tc 0.3626 0.0000 0.8131  3 Si 2.46-2.59, 4 Tc 2.70
Tc 0.2783 0.5000 0.0288  4 Si 2.49-2.68, 3 Tc 2.70-2.74
Tc 0.6374 0.5000 0.6869  3 Si 2.46-2.59, 4 Tc 2.70
Si 0.9543 0.0000 0.8519  7 Tc 2.46-2.68, 2 Si 2.71
Si 0.9543 0.5000 0.3519  7 Tc 2.46-2.68, 2 Si 2.71
Si 0.0457 0.0000 0.1481  7 Tc 2.46-2.68, 2 Si 2.71
Si 0.0457 0.5000 0.6481  7 Tc 2.46-2.68, 2 Si 2.71